# Pr3Er2Cd6 PBE relaxed
# - Raw total energy: -2.640 eV/atom
# - Volume: 29.85 Å³ per atom
# - Energy of formation: -0.082 eV per formula unit
# - Calculated density: 7.2 g/cm3
data_Pr3Er2Cd6
_chemical_formula_sum 'Pr6 Er4 Cd12'
_cell_length_a 4.367
_cell_length_b 4.367
_cell_length_c 34.427
_cell_angle_alpha 90.00
_cell_angle_beta 90.00
_cell_angle_gamma 90.00
_symmetry_space_group_name_H-M 'I 4/m m m'
_symmetry_Int_Tables_number 139
_symmetry_space_group_name_Hall '-I 4 2'
loop_
_atom_site_label
_atom_site_type_symbol
_atom_site_fract_x
_atom_site_fract_y
_atom_site_fract_z
Pr1 Pr 0.000 0.000 0.000
Pr2 Pr 0.000 0.000 0.179
Er1 Er 0.000 0.000 0.366
Cd1 Cd 0.000 0.000 0.275
Cd2 Cd 0.000 0.500 0.071